[1]
Pm2NdBr6: relaxed, PBE.

Values from the calculation:
**Total moment**: 0.0 μB per formula unit
**Excess energy over the best structure of this formula in the dataset**: 0 meV per atom
**Electronic total energy**: -4.36 eV per atom

a = 16.3303 Å, b = 4.0177 Å, c = 10.9432 Å
α = 90.00°, β = 115.66°, γ = 90.00°
Space group C2/m (No. 12)
Asymmetric unit:
Pm: 0.1514 0.0000 0.3078 [4 per cell]
Nd: 0.0000 0.5000 0.0000 [2 per cell]
Br: 0.0150 0.5000 0.2881 [4 per cell]
Br: 0.1467 0.0000 0.0411 [4 per cell]
Br: 0.1989 0.0000 0.6089 [4 per cell]

[2]
Pm2NdBr8: relaxed, PBE.

Values from the calculation:
**Total moment**: 1.0 μB per formula unit
**Electronic total energy**: -4.16 eV per atom

a = 14.6335 Å, b = 11.1395 Å, c = 6.1300 Å
α = 90.00°, β = 90.15°, γ = 90.00°
Space group C2/m (No. 12)
Asymmetric unit:
Pm: 0.2105 0.0000 0.1847 [4 per cell]
Nd: 0.0000 0.0000 0.5000 [2 per cell]
Br: 0.0883 0.1925 0.2408 [8 per cell]
Br: 0.1088 0.5000 0.7456 [4 per cell]
Br: 0.1871 0.0000 0.7112 [4 per cell]

[3]
PmNd2Br5: relaxed, PBE.

Values from the calculation:
**Total moment**: 2.2 μB per formula unit
**Electronic total energy**: -4.12 eV per atom

a = 12.9498 Å, b = 13.2438 Å, c = 7.1156 Å
α = 90.00°, β = 90.00°, γ = 90.00°
Space group Pnnm (No. 58)
Asymmetric unit:
Pm: 0.2150 0.1998 0.0000 [4 per cell]
Nd: 0.0000 0.5000 0.2480 [4 per cell]
Nd: 0.1022 0.1015 0.5000 [4 per cell]
Br: 0.0613 0.2805 0.2525 [8 per cell]
Br: 0.1385 0.8748 0.5000 [4 per cell]
Br: 0.1640 0.5943 0.0000 [4 per cell]
Br: 0.1890 0.5048 0.5000 [4 per cell]

[4]
Pm2NdBr6: relaxed, PBE.

Values from the calculation:
**Total moment**: 1.1 μB per formula unit
**Excess energy over the best structure of this formula in the dataset**: 101 meV per atom
**Electronic total energy**: -4.26 eV per atom

a = 7.0685 Å, b = 7.0685 Å, c = 21.4905 Å
α = 90.00°, β = 90.00°, γ = 120.00°
Space group R3 (No. 146, hexagonal axes)
Asymmetric unit:
Pm: 0.0000 0.0000 0.0000 [3 per cell]
Pm: 0.0000 0.0000 0.3333 [3 per cell]
Nd: 0.0000 0.0000 0.4970 [3 per cell]
Br: 0.0018 0.3300 0.7499 [9 per cell]
Br: 0.0034 0.6584 0.5794 [9 per cell]

[5]
PmNd2Br: relaxed, PBE.

Values from the calculation:
**Total moment**: 1.0 μB per formula unit
**Excess energy over the best structure of this formula in the dataset**: 21 meV per atom
**Electronic total energy**: -4.53 eV per atom

a = 3.7590 Å, b = 3.7590 Å, c = 31.8990 Å
α = 90.00°, β = 90.00°, γ = 120.00°
Space group R3m (No. 160, hexagonal axes)
Asymmetric unit:
Pm: 0.0000 0.0000 0.0000 [3 per cell]
Nd: 0.0000 0.0000 0.5748 [3 per cell]
Nd: 0.0000 0.0000 0.7588 [3 per cell]
Br: 0.0000 0.0000 0.1666 [3 per cell]

[6]
Pm2Nd2Br7: relaxed, PBE.

Values from the calculation:
**Total moment**: 1.2 μB per formula unit
**Electronic total energy**: -4.18 eV per atom

a = 8.7969 Å, b = 12.3521 Å, c = 7.8854 Å
α = 90.00°, β = 91.91°, γ = 90.00°
Space group C2/m (No. 12)
Asymmetric unit:
Pm: 0.0000 0.1432 0.0000 [4 per cell]
Nd: 0.1959 0.0000 0.3613 [4 per cell]
Br: 0.0000 0.5000 0.5000 [2 per cell]
Br: 0.1381 0.0000 0.7359 [4 per cell]
Br: 0.2144 0.2990 0.7904 [8 per cell]

total moment of number 3 (PmNd2Br5)? 2.2 μB per formula unit